Sm6Dy12Er | PBE | optimized geometry

Properties
E above lowest polymorph: 0 meV per atom
Energy of formation: 176 meV/atom
E: -4.461 eV per atom
Density: 8.0 g cm⁻³
Crystal system: trigonal

extended XYZ file:
```
19
Lattice="6.135 3.542 4.803 -6.135 3.542 4.803 0.000 -7.084 4.803" Properties=species:S:1:pos:R:3 pbc="T T T"
Sm -0.861 -3.254 6.480
Sm -3.249 -0.882 7.927
Sm -2.388 2.373 6.480
Sm 2.388 -2.373 7.927
Sm 3.249 0.882 6.480
Sm 0.861 3.254 7.927
Dy -5.772 1.457 6.174
Dy -4.148 -4.270 8.234
Dy -1.925 -0.564 4.392
Dy 1.624 -5.727 6.174
Dy 1.451 -1.385 4.392
Dy 0.474 1.949 4.392
Dy -0.474 -1.949 10.016
Dy -1.451 1.385 10.016
Dy -1.624 5.727 8.234
Dy 1.925 0.564 10.016
Dy 4.148 4.270 6.174
Dy 5.772 -1.457 8.234
Er 0.000 0.000 7.204
```